# 1
Compound: Ga3MoO
Source: Alexandria via LeMat-Bulk
Functional: GGA-PBEsol
Structure: relaxed

Results
For the energy relative to the elements, uncorrected, the calculation gives -0.01 eV/atom. For the density of states at the Fermi level, the calculation gives 0.531 states/eV per atom. Its space-group type is No. 221.

abc: 4.125 4.125 4.125
angles: 90.00 90.00 90.00
Element x y z (fractional)
1 Ga 0.000 0.000 0.500
2 Ga 0.000 0.500 0.000
3 Ga 0.500 0.000 0.000
4 Mo 0.500 0.500 0.500
5 O 0.000 0.000 0.000

---

# 2
Compound: AlSiAs2
Source: Alexandria via LeMat-Bulk
Functional: GGA-PBEsol
Structure: relaxed

Results
For the energy relative to the elements, uncorrected, the calculation gives 0.25 eV/atom. The calculation puts the polymorph energy (0 for the lowest one) at 0.000 eV per atom. For the density of states at the Fermi level, the calculation gives 0.390 states/eV per atom. Its space-group type is No. 119.

abc: 5.843 5.843 5.843
angles: 143.40 143.40 52.73
Element x y z (fractional)
1 Al 0.000 0.000 0.000
2 Si 0.250 0.750 0.500
3 As 0.500 0.500 0.000
4 As 0.750 0.250 0.500

---

# 3
Compound: Ba2CaHg
Source: Alexandria via LeMat-Bulk
Functional: GGA-PBEsol
Structure: relaxed

Results
The calculation puts the polymorph energy (0 for the lowest one) at 0.061 eV per atom. For the density of states at the Fermi level, the calculation gives 1.050 states/eV per atom. Its space-group type is No. 38. The calculation puts the formation energy at -0.221 eV per atom.

abc: 4.199 7.756 7.756
angles: 43.83 90.00 90.00
Element x y z (fractional)
1 Ba 0.000 0.000 0.000
2 Ba 0.500 0.310 0.310
3 Ca 0.000 0.692 0.692
4 Hg 0.500 0.540 0.540

---

What did the third record say?
Compound: Ba2CaHg
Source: Alexandria via LeMat-Bulk
Functional: GGA-PBEsol
Structure: relaxed

Results
The calculation puts the polymorph energy (0 for the lowest one) at 0.061 eV per atom. For the density of states at the Fermi level, the calculation gives 1.050 states/eV per atom. Its space-group type is No. 38. The calculation puts the formation energy at -0.221 eV per atom.

abc: 4.199 7.756 7.756
angles: 43.83 90.00 90.00
Element x y z (fractional)
1 Ba 0.000 0.000 0.000
2 Ba 0.500 0.310 0.310
3 Ca 0.000 0.692 0.692
4 Hg 0.500 0.540 0.540